# SrTaFe2O6

An optimized crystal structure of SrTaFe2O6 (GGA+U, Alexandria).

E: -7.715 eV/atom

Cell lengths 5.4075, 5.4086, 5.8713 Å; angles 116.54, 90.89, 119.81 degrees
Last column: nearest neighbours and their distance in Å.
Sites, in units of the cell vectors:
Sr: 0.0000 0.0000 0.0000  6 O 2.42-2.69
Ta: 0.4819 0.9567 0.4326  6 O 1.96-2.09
Fe: 0.2768 0.5478 0.8148  6 O 2.09-2.28
Fe: 0.7821 0.5598 0.3382  4 O 1.95-2.17
O: 0.0756 0.6874 0.1513  1 Fe 1.96, 1 Ta 2.06
O: 0.2067 0.7476 0.6067  1 Ta 1.99, 2 Fe 2.09-2.22
O: 0.4645 0.5371 0.1433  2 Fe 1.97-2.20, 1 Ta 2.09
O: 0.5584 0.4036 0.6037  1 Ta 1.96
O: 0.6199 0.0835 0.1534  1 Fe 1.95, 1 Ta 2.06
O: 0.8568 0.0435 0.6017  1 Ta 1.97, 2 Fe 2.17-2.21